(1)
Below is a relaxed LiScSe crystal, with properties calculated at the GGA-PBE level.

Structure (POSCAR):
```
LiScSe
1.0
0.0000 3.1767 3.1767
3.1767 0.0000 3.1767
3.1767 3.1767 0.0000
Li Sc Se
1 1 1
Direct
0.0000 0.0000 0.0000
0.2500 0.2500 0.2500
0.5000 0.5000 0.5000
```

Calculated values
ΔE_f (raw) = -0.449 eV per atom
SG = F-43m



(2)
Below is a relaxed TaSb2Os crystal, with properties calculated at the GGA-PBE level.

Structure (POSCAR):
```
TaSb2Os
1.0
0.0000 3.4053 3.4053
3.4053 0.0000 3.4053
3.4053 3.4053 0.0000
Ta Sb Os
1 2 1
Direct
0.0000 0.0000 0.0000
0.2500 0.2500 0.2500
0.5000 0.5000 0.5000
0.7500 0.7500 0.7500
```

Calculated values
ΔE_f (raw) = 0.700 eV per atom
SG = F-43m



(3)
Below is a relaxed Cd3Cu crystal, with properties calculated at the GGA-PBE level.

Structure (POSCAR):
```
Cd3Cu
1.0
3.1067 0.0000 0.0000
0.0000 4.5019 0.0000
-0.9361 0.0000 5.6404
Cd Cu
3 1
Direct
0.0000 0.0000 0.0000
0.3770 0.5000 0.7324
0.6230 0.5000 0.2676
0.0000 0.0000 0.5000
```

Calculated values
SG = P2/m



(4)
Below is a relaxed TaIn2FeCu crystal, with properties calculated at the GGA-PBE level.

Structure (POSCAR):
```
TaIn2FeCu
1.0
5.3645 0.0000 0.0000
0.0000 5.3645 0.0000
0.0000 0.0000 4.6778
Ta In Fe Cu
1 2 1 1
Direct
0.0000 0.0000 0.0000
0.0000 0.5000 0.0000
0.5000 0.0000 0.0000
0.5000 0.5000 0.5000
0.0000 0.0000 0.5000
```

Calculated values
SG = P4/mmm



(5)
Below is a relaxed Y6In2Cu crystal, with properties calculated at the GGA-PBE level.

Structure (POSCAR):
```
Y6In2Cu
1.0
6.1897 0.0000 0.0000
0.0000 8.5999 0.0000
-5.6768 0.0000 9.8075
Y In Cu
12 4 2
Direct
0.0572 0.1763 0.4422
0.0572 0.3237 0.9422
0.3375 0.6775 0.4440
0.3375 0.8225 0.9440
0.3810 0.0286 0.2727
0.3810 0.4714 0.7727
0.6190 0.5286 0.2273
0.6190 0.9714 0.7273
0.6625 0.1775 0.0560
0.6625 0.3225 0.5560
0.9428 0.6763 0.0578
0.9428 0.8237 0.5578
0.1706 0.1247 0.7497
0.1706 0.3753 0.2497
0.8294 0.6247 0.7503
0.8294 0.8753 0.2503
0.0000 0.0000 0.0000
0.0000 0.5000 0.5000
```

Calculated values
SG = P2_1/c



(6)
Below is a relaxed AcPmInRu crystal, with properties calculated at the GGA-PBE level.

Structure (POSCAR):
```
AcPmInRu
1.0
0.0000 3.7882 3.7882
3.7882 0.0000 3.7882
3.7882 3.7882 0.0000
Ac Pm In Ru
1 1 1 1
Direct
0.0000 0.0000 0.0000
0.5000 0.5000 0.5000
0.2500 0.2500 0.2500
0.7500 0.7500 0.7500
```

Calculated values
SG = F-43m



(7)
Below is a relaxed TbSn2S4 crystal, with properties calculated at the GGA-PBE level.

Structure (POSCAR):
```
TbSn2S4
1.0
1.9075 -6.6203 0.0000
1.9075 6.6203 0.0000
0.0000 0.0000 13.2957
Tb Sn S
2 4 8
Direct
0.1172 0.8828 0.7500
0.8828 0.1172 0.2500
0.3690 0.6310 0.5685
0.3690 0.6310 0.9315
0.6310 0.3690 0.0685
0.6310 0.3690 0.4315
0.0000 0.0000 0.0000
0.0000 0.0000 0.5000
0.2850 0.7150 0.1249
0.2850 0.7150 0.3751
0.4694 0.5306 0.7500
0.5306 0.4694 0.2500
0.7150 0.2850 0.6249
0.7150 0.2850 0.8751
```

Calculated values
ΔE_f (raw) = -0.920 eV per atom
SG = Cmcm



(8)
Below is a relaxed Sr2NpSb4Pt3 crystal, with properties calculated at the GGA-PBE level.

Structure (POSCAR):
```
Sr2NpSb4Pt3
1.0
4.6191 0.0000 0.0000
0.0000 4.6191 0.0000
0.0000 0.0000 12.1785
Sr Np Sb Pt
2 1 4 3
Direct
0.0000 0.5000 0.2332
0.5000 0.0000 0.7668
0.0000 0.0000 0.5000
0.0000 0.0000 0.0000
0.0000 0.5000 0.6597
0.5000 0.0000 0.3403
0.5000 0.5000 0.0000
0.0000 0.5000 0.8801
0.5000 0.0000 0.1199
0.5000 0.5000 0.5000
```

Calculated values
ΔE_f (raw) = -0.624 eV per atom
SG = P-4m2



(9)
Below is a relaxed CrTeW2 crystal, with properties calculated at the GGA-PBE level.

Structure (POSCAR):
```
CrTeW2
1.0
4.6469 -1.5869 0.0000
4.6469 1.5869 0.0000
-1.4973 0.0000 4.4685
Cr Te W
1 1 2
Direct
0.0000 0.0000 0.0000
0.7507 0.7507 0.3244
0.2791 0.2791 0.8610
0.5075 0.5075 0.5369
```

Calculated values
ΔE_f (raw) = 0.650 eV per atom
SG = Cm



(10)
Below is a relaxed Na2Tb2USe6 crystal, with properties calculated at the GGA-PBE level.

Structure (POSCAR):
```
Na2Tb2USe6
1.0
3.6088 -6.2159 0.0000
3.6088 6.2159 0.0000
-2.4071 0.0000 7.0485
Na Tb U Se
2 2 1 6
Direct
0.1686 0.8314 0.0000
0.8314 0.1686 0.0000
0.3337 0.6663 0.5000
0.6663 0.3337 0.5000
0.0000 0.0000 0.5000
0.0740 0.4043 0.7258
0.2509 0.2509 0.2751
0.4043 0.0740 0.7258
0.5957 0.9260 0.2742
0.7491 0.7491 0.7249
0.9260 0.5957 0.2742
```

Calculated values
ΔE_f (raw) = -1.534 eV per atom
SG = C2/m



(11)
Below is a relaxed ErHfZn2 crystal, with properties calculated at the GGA-PBE level.

Structure (POSCAR):
```
ErHfZn2
1.0
3.4125 0.0000 0.0000
0.0000 3.4125 0.0000
0.0000 0.0000 6.8318
Er Hf Zn
1 1 2
Direct
0.0000 0.0000 0.0000
0.0000 0.0000 0.5000
0.5000 0.5000 0.2737
0.5000 0.5000 0.7263
```

Calculated values
SG = P4/mmm



(12)
Below is a relaxed LiLaMgAu2 crystal, with properties calculated at the GGA-PBE level.

Structure (POSCAR):
```
LiLaMgAu2
1.0
-2.0459 2.0459 6.6577
2.0459 -2.0459 6.6577
2.0459 2.0459 -6.6577
Li La Mg Au
1 1 1 2
Direct
0.0000 0.0000 0.0000
0.7500 0.2500 0.5000
0.5000 0.5000 0.0000
0.1401 0.6401 0.5000
0.3599 0.8599 0.5000
```

Calculated values
SG = I-4m2



(13)
Below is a relaxed LuUNi2 crystal, with properties calculated at the GGA-PBE level.

Structure (POSCAR):
```
LuUNi2
1.0
4.8065 0.0000 0.0000
0.0000 4.8065 0.0000
0.0000 0.0000 3.1073
Lu U Ni
1 1 2
Direct
0.0000 0.0000 0.0000
0.5000 0.5000 0.0000
0.0000 0.5000 0.5000
0.5000 0.0000 0.5000
```

Calculated values
SG = P4/mmm



(14)
Below is a relaxed ScInBr2 crystal, with properties calculated at the GGA-PBE level.

Structure (POSCAR):
```
ScInBr2
1.0
1.9089 -3.1369 0.0000
1.9089 3.1369 0.0000
0.0000 0.0000 9.9166
Sc In Br
1 1 2
Direct
0.0000 0.0000 0.0000
0.5000 0.5000 0.2334
0.0000 0.0000 0.4360
0.5000 0.5000 0.8124
```

Calculated values
ΔE_f (raw) = -0.703 eV per atom
SG = Cmm2



(15)
Below is a relaxed ZrSiW2 crystal, with properties calculated at the GGA-PBE level.

Structure (POSCAR):
```
ZrSiW2
1.0
3.2283 0.0000 0.0000
0.0000 4.3177 0.0000
-1.5379 0.0000 4.9459
Zr Si W
1 1 2
Direct
0.0000 0.0000 0.0000
0.5633 0.5000 0.1438
0.2682 0.5000 0.5712
0.6998 0.0000 0.4715
```

Calculated values
ΔE_f (raw) = -0.070 eV per atom
SG = Pm



(16)
Below is a relaxed PmEuTlNi crystal, with properties calculated at the GGA-PBE level.

Structure (POSCAR):
```
PmEuTlNi
1.0
0.0000 3.7332 3.7332
3.7332 0.0000 3.7332
3.7332 3.7332 0.0000
Pm Eu Tl Ni
1 1 1 1
Direct
0.0000 0.0000 0.0000
0.5000 0.5000 0.5000
0.2500 0.2500 0.2500
0.7500 0.7500 0.7500
```

Calculated values
SG = F-43m



(17)
Below is a relaxed PrNp2PaSb4 crystal, with properties calculated at the GGA-PBE level.

Structure (POSCAR):
```
PrNp2PaSb4
1.0
7.6385 0.0000 0.0000
0.0000 4.4363 0.0000
-2.5771 0.0000 7.2620
Pr Np Pa Sb
1 2 1 4
Direct
0.0000 0.0000 0.0000
0.5000 0.0000 0.5000
0.5000 0.5000 0.0000
0.0000 0.5000 0.5000
0.2508 0.0000 0.7449
0.2557 0.5000 0.2582
0.7443 0.5000 0.7418
0.7492 0.0000 0.2551
```

Calculated values
ΔE_f (raw) = -0.509 eV per atom
SG = P2/m



(18)
Below is a relaxed RbHSe2 crystal, with properties calculated at the GGA-PBE level.

Structure (POSCAR):
```
RbHSe2
1.0
2.3021 1.3291 5.9762
-2.3021 1.3291 5.9762
0.0000 -2.6582 5.9762
Rb H Se
1 1 2
Direct
0.0000 0.0000 0.0000
0.5000 0.5000 0.5000
0.1804 0.1804 0.1804
0.8196 0.8196 0.8196
```

Calculated values
SG = R-3m



(19)
Below is a relaxed TlHgAsPb crystal, with properties calculated at the GGA-PBE level.

Structure (POSCAR):
```
TlHgAsPb
1.0
3.7135 -2.1445 0.0000
3.7135 2.1445 0.0000
-0.0095 0.0000 8.8605
Tl Hg As Pb
1 1 1 1
Direct
0.0000 0.0000 0.0000
0.3331 0.3331 0.2634
0.6662 0.6662 0.7952
0.3326 0.3326 0.6309
```

Calculated values
SG = Cm



(20)
Below is a relaxed BaPSe3 crystal, with properties calculated at the GGA-PBE level.

Structure (POSCAR):
```
BaPSe3
1.0
7.1653 0.0000 0.0000
0.0000 8.1324 0.0000
-6.9367 0.0000 10.4190
Ba P Se
4 4 12
Direct
0.2074 0.0978 0.2477
0.2074 0.4022 0.7477
0.7926 0.5978 0.2523
0.7926 0.9022 0.7523
0.1087 0.6077 0.0607
0.1087 0.8923 0.5607
0.8913 0.1077 0.4393
0.8913 0.3923 0.9393
0.1326 0.2063 0.9580
0.1326 0.2937 0.4580
0.2832 0.6994 0.9718
0.2832 0.8006 0.4718
0.3294 0.5132 0.2577
0.3294 0.9868 0.7577
0.6706 0.0132 0.2423
0.6706 0.4868 0.7423
0.7168 0.1994 0.5282
0.7168 0.3006 0.0282
0.8674 0.7063 0.5420
0.8674 0.7937 0.0420
```

Calculated values
ΔE_f (raw) = -1.015 eV per atom
SG = P2_1/c



(21)
Below is a relaxed BeCo2Sb crystal, with properties calculated at the GGA-PBE level.

Structure (POSCAR):
```
BeCo2Sb
1.0
3.8070 0.0000 0.0000
0.0000 3.8070 0.0000
0.0000 0.0000 3.3814
Be Co Sb
1 2 1
Direct
0.0000 0.0000 0.0000
0.0000 0.5000 0.5000
0.5000 0.0000 0.5000
0.5000 0.5000 0.0000
```

Calculated values
ΔE_f (raw) = 0.024 eV per atom
SG = P4/mmm



(22)
Below is a relaxed Sr2ZnGe3Pt4 crystal, with properties calculated at the GGA-PBE level.

Structure (POSCAR):
```
Sr2ZnGe3Pt4
1.0
4.4421 0.0000 0.0000
0.0000 4.4421 0.0000
0.0000 0.0000 10.2153
Sr Zn Ge Pt
2 1 3 4
Direct
0.0000 0.5000 0.2476
0.5000 0.0000 0.7524
0.5000 0.5000 0.0000
0.0000 0.0000 0.0000
0.0000 0.5000 0.6254
0.5000 0.0000 0.3746
0.0000 0.0000 0.5000
0.0000 0.5000 0.8715
0.5000 0.0000 0.1285
0.5000 0.5000 0.5000
```

Calculated values
SG = P-4m2



(23)
Below is a relaxed Cs2BaTiCl6 crystal, with properties calculated at the GGA-PBE level.

Structure (POSCAR):
```
Cs2BaTiCl6
1.0
0.0000 5.5489 5.5489
5.5489 0.0000 5.5489
5.5489 5.5489 0.0000
Cs Ba Ti Cl
2 1 1 6
Direct
0.2500 0.2500 0.2500
0.7500 0.7500 0.7500
0.0000 0.0000 0.0000
0.5000 0.5000 0.5000
0.2716 0.2716 0.7284
0.2716 0.7284 0.2716
0.2716 0.7284 0.7284
0.7284 0.2716 0.2716
0.7284 0.2716 0.7284
0.7284 0.7284 0.2716
```

Calculated values
ΔE_f (raw) = -1.938 eV per atom
SG = Fm-3m



(24)
Below is a relaxed Dy2Zn5Cu3 crystal, with properties calculated at the GGA-PBE level.

Structure (POSCAR):
```
Dy2Zn5Cu3
1.0
3.9425 0.0000 0.0000
0.0000 3.9425 0.0000
0.0000 0.0000 11.1880
Dy Zn Cu
2 5 3
Direct
0.0000 0.5000 0.2360
0.5000 0.0000 0.7640
0.0000 0.0000 0.5000
0.0000 0.5000 0.6466
0.5000 0.0000 0.3534
0.5000 0.5000 0.0000
0.5000 0.5000 0.5000
0.0000 0.0000 0.0000
0.0000 0.5000 0.8630
0.5000 0.0000 0.1370
```

Calculated values
SG = P-4m2



(25)
Below is a relaxed KBeIr2 crystal, with properties calculated at the GGA-PBE level.

Structure (POSCAR):
```
KBeIr2
1.0
2.8321 0.0000 0.0000
0.0000 4.3003 0.0000
-1.3077 0.0000 6.5490
K Be Ir
1 1 2
Direct
0.0000 0.0000 0.0000
0.6594 0.5000 0.3428
0.2787 0.5000 0.6000
0.7335 0.0000 0.5036
```

Calculated values
SG = Pm



(26)
Below is a relaxed CuHgRh2 crystal, with properties calculated at the GGA-PBE level.

Structure (POSCAR):
```
CuHgRh2
1.0
-1.4346 2.3158 4.6226
1.4346 -2.3158 4.6226
1.4346 2.3158 -4.6226
Cu Hg Rh
1 1 2
Direct
0.0000 0.0000 0.0000
0.5000 0.5000 0.0000
0.2322 0.7322 0.5000
0.7678 0.2678 0.5000
```

Calculated values
SG = Immm



Record order is preserved below.
Raw total energy: -4.36 -7.13 -1.60 -4.18 -5.57 -5.33 -5.08 -5.72 -9.02 -5.54 -4.51 -3.66 -7.03 -3.81 -10.04 -5.94 -7.59 -2.74 -2.74 -4.57 -5.49 -5.06 -4.20 -3.04 -5.34 -4.58 eV per atom